Material: Mn2TcSb
Method: DFT, PBE
State: optimized geometry

abc: 5.539 5.539 5.539
angles: 103.79 103.79 121.55
Positions (direct):
Mn (0.085, 0.125, 0.460)
Mn (0.375, 0.915, 0.040)
Mn (0.665, 0.625, 0.540)
Mn (0.875, 0.335, 0.960)
Tc (0.000, 0.000, 0.000)
Tc (0.750, 0.250, 0.500)
Sb (0.250, 0.750, 0.500)
Sb (0.500, 0.500, 0.000)

## Properties
- symmetry = I-42d (122)
- total DFT energy (no corrections) (eV per cell) = -59.7
- raw formation energy (eV per atom) = 0.749
- V (Å³ per cell) = 126
- spin magnetization (μB/atom) = 0.00